[1]
Compound: Gd2Ag2O5
Source: OQMD
Functional: PBE
Structure: relaxed

Values from the calculation:
offset from the most stable computed form: 0 meV per atom
space group: P4/mmm, No. 123
ρ: 7.0 g/cm³
crystal system: tetragonal

a = 4.0603 Å, b = 4.0603 Å, c = 8.8165 Å
α = 90.00°, β = 90.00°, γ = 90.00°
Atoms (fractional coordinates):
Gd  0.0000  0.0000  0.2482
Gd  0.0000  0.0000  0.7518
Ag  0.5000  0.5000  0.0000
Ag  0.5000  0.5000  0.5000
O  0.0000  0.0000  0.5000
O  0.0000  0.5000  0.1535
O  0.0000  0.5000  0.8465
O  0.5000  0.0000  0.1535
O  0.5000  0.0000  0.8465

---

[2]
Compound: RbTm2CuTe3S
Source: OQMD
Functional: PBE
Structure: relaxed

Values from the calculation:
space group: Cmcm, No. 63
energy: -4.61 eV per atom
ρ: 6.4 g/cm³
crystal system: orthorhombic

a = 7.7417 Å, b = 7.7417 Å, c = 14.8127 Å
α = 90.00°, β = 90.00°, γ = 148.16°
Atoms (fractional coordinates):
Rb  0.0903  0.9097  0.7500
Rb  0.9097  0.0903  0.2500
Tm  0.3660  0.6340  0.5775
Tm  0.3660  0.6340  0.9225
Tm  0.6340  0.3660  0.0775
Tm  0.6340  0.3660  0.4225
Cu  0.1575  0.8425  0.2500
Cu  0.8425  0.1575  0.7500
Te  0.0000  0.0000  0.0000
Te  0.0000  0.0000  0.5000
Te  0.2708  0.7292  0.1124
Te  0.2708  0.7292  0.3876
Te  0.7292  0.2708  0.6124
Te  0.7292  0.2708  0.8876
S  0.4194  0.5806  0.7500
S  0.5806  0.4194  0.2500

---

[3]
Compound: TbPmPO
Source: OQMD
Functional: PBE
Structure: relaxed

Values from the calculation:
offset from the most stable computed form: 73 meV per atom
space group: P4/nmm, No. 129
ρ: 6.9 g/cm³
crystal system: tetragonal

a = 4.3716 Å, b = 4.3716 Å, c = 8.7903 Å
α = 90.00°, β = 90.00°, γ = 90.00°
Atoms (fractional coordinates):
Tb  0.2500  0.7500  0.0000
Tb  0.7500  0.2500  0.0000
Pm  0.2500  0.2500  0.3907
Pm  0.7500  0.7500  0.6093
P  0.2500  0.2500  0.8082
P  0.7500  0.7500  0.1918
O  0.2500  0.7500  0.5000
O  0.7500  0.2500  0.5000

---

[4]
Compound: ScMoPd2
Source: OQMD
Functional: PBE
Structure: relaxed

Values from the calculation:
space group: F-43m, No. 216
E_form: -0.53 eV per formula unit
ρ: 9.1 g/cm³
crystal system: cubic

a = 4.5029 Å, b = 4.5029 Å, c = 4.5029 Å
α = 60.00°, β = 60.00°, γ = 60.00°
Atoms (fractional coordinates):
Sc  0.0000  0.0000  0.0000
Mo  0.2500  0.2500  0.2500
Pd  0.5000  0.5000  0.5000
Pd  0.7500  0.7500  0.7500

---

[5]
Compound: LaGaPd2
Source: OQMD
Functional: PBE
Structure: relaxed

Values from the calculation:
space group: Pnma, No. 62
energy: -5.46 eV per atom
ρ: 8.7 g/cm³
crystal system: orthorhombic

a = 7.6661 Å, b = 7.1399 Å, c = 5.8977 Å
α = 90.00°, β = 90.00°, γ = 90.00°
Atoms (fractional coordinates):
La  0.0328  0.2500  0.1511
La  0.4672  0.7500  0.6511
La  0.5328  0.2500  0.3489
La  0.9672  0.7500  0.8489
Ga  0.1204  0.7500  0.3483
Ga  0.3796  0.2500  0.8483
Ga  0.6204  0.7500  0.1517
Ga  0.8796  0.2500  0.6517
Pd  0.1770  0.0526  0.5876
Pd  0.1770  0.4474  0.5876
Pd  0.3230  0.5526  0.0876
Pd  0.3230  0.9474  0.0876
Pd  0.6770  0.0526  0.9124
Pd  0.6770  0.4474  0.9124
Pd  0.8230  0.5526  0.4124
Pd  0.8230  0.9474  0.4124

---

[6]
Compound: Lu3Al
Source: OQMD
Functional: PBE
Structure: relaxed

Values from the calculation:
space group: Pm-3m, No. 221
energy: -4.52 eV per atom
ρ: 9.1 g/cm³
crystal system: cubic

a = 4.6568 Å, b = 4.6568 Å, c = 4.6568 Å
α = 90.00°, β = 90.00°, γ = 90.00°
Atoms (fractional coordinates):
Lu  0.0000  0.0000  0.5000
Lu  0.0000  0.5000  0.0000
Lu  0.5000  0.0000  0.0000
Al  0.5000  0.5000  0.5000

---

[7]
Compound: Ta3TlTe5
Source: OQMD
Functional: PBE
Structure: relaxed

Values from the calculation:
space group: P6/mmm, No. 191
energy: -6.12 eV per atom
ρ: 8.9 g/cm³
crystal system: hexagonal

a = 5.9532 Å, b = 5.9532 Å, c = 8.4211 Å
α = 90.00°, β = 90.00°, γ = 120.00°
Atoms (fractional coordinates):
Ta  0.0000  0.5000  0.0000
Ta  0.5000  0.0000  0.0000
Ta  0.5000  0.5000  0.0000
Tl  0.0000  0.0000  0.5000
Te  0.0000  0.0000  0.0000
Te  0.3333  0.6667  0.2711
Te  0.3333  0.6667  0.7289
Te  0.6667  0.3333  0.2711
Te  0.6667  0.3333  0.7289

---

[8]
Compound: Li4Zn2AgIr
Source: OQMD
Functional: PBE
Structure: relaxed

Values from the calculation:
space group: P-4m2, No. 115
energy: -2.98 eV per atom
ρ: 6.7 g/cm³
crystal system: tetragonal

a = 4.3130 Å, b = 4.3130 Å, c = 6.1300 Å
α = 90.00°, β = 90.00°, γ = 90.00°
Atoms (fractional coordinates):
Li  0.0000  0.0000  0.0000
Li  0.0000  0.5000  0.2420
Li  0.5000  0.0000  0.7580
Li  0.5000  0.5000  0.5000
Zn  0.0000  0.5000  0.7760
Zn  0.5000  0.0000  0.2240
Ag  0.0000  0.0000  0.5000
Ir  0.5000  0.5000  0.0000

---

[9]
Compound: KRbDy2As2
Source: OQMD
Functional: PBE
Structure: relaxed

Values from the calculation:
space group: P3m1, No. 156
energy: -3.93 eV per atom
ρ: 4.0 g/cm³
crystal system: trigonal

a = 4.3956 Å, b = 4.3956 Å, c = 14.9765 Å
α = 90.00°, β = 90.00°, γ = 120.00°
Atoms (fractional coordinates):
K  0.0000  0.0000  0.0000
Rb  0.6667  0.3333  0.4987
Dy  0.3333  0.6667  0.2273
Dy  0.3333  0.6667  0.7381
As  0.0000  0.0000  0.6640
As  0.6667  0.3333  0.1526

---

[10]
Compound: BaTa2SnO8
Source: OQMD
Functional: PBE
Structure: relaxed

Values from the calculation:
space group: C2/m, No. 12
energy: -8.29 eV per atom
ρ: 6.4 g/cm³
crystal system: monoclinic

a = 5.1771 Å, b = 5.1771 Å, c = 7.6827 Å
α = 94.47°, β = 94.47°, γ = 70.97°
Atoms (fractional coordinates):
Ba  0.0000  0.0000  0.0000
Ta  0.3899  0.3899  0.7137
Ta  0.6101  0.6101  0.2863
Sn  0.0000  0.0000  0.5000
O  0.2266  0.7550  0.3011
O  0.2399  0.2399  0.5204
O  0.2450  0.7734  0.6989
O  0.3127  0.3127  0.9266
O  0.6873  0.6873  0.0734
O  0.7550  0.2266  0.3011
O  0.7601  0.7601  0.4796
O  0.7734  0.2450  0.6989

---

[11]
Compound: SmNiBi
Source: OQMD
Functional: PBE
Structure: relaxed

Values from the calculation:
space group: P6_3/mmc, No. 194
energy: -5.33 eV per atom
ρ: 9.9 g/cm³
crystal system: hexagonal

a = 4.4918 Å, b = 4.4918 Å, c = 8.0080 Å
α = 90.00°, β = 90.00°, γ = 120.00°
Atoms (fractional coordinates):
Sm  0.0000  0.0000  0.0000
Sm  0.0000  0.0000  0.5000
Ni  0.3333  0.6667  0.2500
Ni  0.6667  0.3333  0.7500
Bi  0.3333  0.6667  0.7500
Bi  0.6667  0.3333  0.2500

---

[12]
Compound: NaSmHgTe3
Source: OQMD
Functional: PBE
Structure: relaxed

Values from the calculation:
offset from the most stable computed form: 1 meV per atom
space group: Pnma, No. 62
ρ: 6.4 g/cm³
crystal system: orthorhombic

a = 11.8052 Å, b = 4.4332 Å, c = 14.9487 Å
α = 90.00°, β = 90.00°, γ = 90.00°
Atoms (fractional coordinates):
Na  0.2357  0.2500  0.0231
Na  0.2643  0.7500  0.5231
Na  0.7357  0.2500  0.4769
Na  0.7643  0.7500  0.9769
Sm  0.0089  0.7500  0.7475
Sm  0.4911  0.2500  0.2475
Sm  0.5089  0.7500  0.7525
Sm  0.9911  0.2500  0.2525
Hg  0.2433  0.7500  0.2207
Hg  0.2567  0.2500  0.7207
Hg  0.7433  0.7500  0.2793
Hg  0.7567  0.2500  0.7793
Te  0.0491  0.7500  0.1089
Te  0.0677  0.2500  0.6045
Te  0.2417  0.2500  0.3446
Te  0.2583  0.7500  0.8446
Te  0.4323  0.7500  0.1045
Te  0.4509  0.2500  0.6089
Te  0.5491  0.7500  0.3911
Te  0.5677  0.2500  0.8955
Te  0.7417  0.2500  0.1554
Te  0.7583  0.7500  0.6554
Te  0.9323  0.7500  0.3955
Te  0.9509  0.2500  0.8911

---

[13]
Compound: TbGdAg2
Source: OQMD
Functional: PBE
Structure: relaxed

Values from the calculation:
offset from the most stable computed form: 32 meV per atom
space group: Amm2, No. 38
E_form: -1.16 eV per formula unit
ρ: 8.9 g/cm³
crystal system: orthorhombic

a = 4.7869 Å, b = 5.8296 Å, c = 5.8296 Å
α = 37.43°, β = 90.00°, γ = 90.00°
Atoms (fractional coordinates):
Tb  0.0000  0.0000  0.0000
Gd  0.5000  0.7151  0.7151
Ag  0.0000  0.2778  0.2778
Ag  0.5000  0.4380  0.4380

---

[14]
Compound: Cs4Pd3F10
Source: OQMD
Functional: PBE
Structure: relaxed

Values from the calculation:
space group: Cmce, No. 64
energy: -4.08 eV per atom
ρ: 5.7 g/cm³
crystal system: orthorhombic

a = 7.4773 Å, b = 7.4773 Å, c = 14.6676 Å
α = 90.00°, β = 90.00°, γ = 132.26°
Atoms (fractional coordinates):
Cs  0.0304  0.9696  0.8642
Cs  0.2349  0.7651  0.6153
Cs  0.2651  0.7349  0.1153
Cs  0.4696  0.5304  0.3642
Cs  0.5304  0.4696  0.6358
Cs  0.7349  0.2651  0.8847
Cs  0.7651  0.2349  0.3847
Cs  0.9696  0.0304  0.1358
Pd  0.0000  0.0000  0.5000
Pd  0.1224  0.8776  0.3474
Pd  0.3776  0.6224  0.8474
Pd  0.5000  0.5000  0.0000
Pd  0.6224  0.3776  0.1526
Pd  0.8776  0.1224  0.6526
F  0.0274  0.9726  0.6775
F  0.1150  0.3850  0.7500
F  0.1277  0.3363  0.5198
F  0.1637  0.3723  0.9802
F  0.2312  0.7688  0.8643
F  0.2688  0.7312  0.3643
F  0.3363  0.1277  0.4802
F  0.3723  0.1637  0.0198
F  0.3850  0.1150  0.2500
F  0.4726  0.5274  0.1775
F  0.5274  0.4726  0.8225
F  0.6150  0.8850  0.7500
F  0.6277  0.8363  0.9802
F  0.6637  0.8723  0.5198
F  0.7312  0.2688  0.6357
F  0.7688  0.2312  0.1357
F  0.8363  0.6277  0.0198
F  0.8723  0.6637  0.4802
F  0.8850  0.6150  0.2500
F  0.9726  0.0274  0.3225

---

[15]
Compound: Dy3Hg3Pd2
Source: OQMD
Functional: PBE
Structure: relaxed

Values from the calculation:
space group: P-62m, No. 189
E_form: -5.55 eV per formula unit
ρ: 11.7 g/cm³
crystal system: hexagonal

a = 7.6131 Å, b = 7.6131 Å, c = 3.6748 Å
α = 90.00°, β = 90.00°, γ = 120.00°
Atoms (fractional coordinates):
Dy  0.0000  0.4110  0.0000
Dy  0.4110  0.0000  0.0000
Dy  0.5890  0.5890  0.0000
Hg  0.0000  0.7628  0.5000
Hg  0.2372  0.2372  0.5000
Hg  0.7628  0.0000  0.5000
Pd  0.3333  0.6667  0.5000
Pd  0.6667  0.3333  0.5000

---

[16]
Compound: HfCo2Ni
Source: OQMD
Functional: PBE
Structure: relaxed

Values from the calculation:
space group: F-43m, No. 216
E_form: -0.53 eV per formula unit
ρ: 11.2 g/cm³
crystal system: cubic

a = 4.2026 Å, b = 4.2026 Å, c = 4.2026 Å
α = 60.00°, β = 60.00°, γ = 60.00°
Atoms (fractional coordinates):
Hf  0.0000  0.0000  0.0000
Co  0.2500  0.2500  0.2500
Co  0.5000  0.5000  0.5000
Ni  0.7500  0.7500  0.7500

---

[17]
Compound: AlTcGe
Source: OQMD
Functional: PBE
Structure: relaxed

Values from the calculation:
offset from the most stable computed form: 648 meV per atom
space group: F-43m, No. 216
ρ: 6.5 g/cm³
crystal system: cubic

a = 4.1449 Å, b = 4.1449 Å, c = 4.1449 Å
α = 60.00°, β = 60.00°, γ = 60.00°
Atoms (fractional coordinates):
Al  0.0000  0.0000  0.0000
Tc  0.5000  0.5000  0.5000
Ge  0.2500  0.2500  0.2500

---

[18]
Compound: NpSiAg
Source: OQMD
Functional: PBE
Structure: relaxed

Values from the calculation:
space group: F-43m, No. 216
energy: -6.79 eV per atom
ρ: 9.0 g/cm³
crystal system: cubic

a = 4.5927 Å, b = 4.5927 Å, c = 4.5927 Å
α = 60.00°, β = 60.00°, γ = 60.00°
Atoms (fractional coordinates):
Np  0.0000  0.0000  0.0000
Si  0.7500  0.7500  0.7500
Ag  0.5000  0.5000  0.5000

---

[19]
Compound: LiOsPd
Source: OQMD
Functional: PBE
Structure: relaxed

Values from the calculation:
offset from the most stable computed form: 0 meV per atom
space group: F-43m, No. 216
ρ: 9.9 g/cm³
crystal system: cubic

a = 4.1542 Å, b = 4.1542 Å, c = 4.1542 Å
α = 60.00°, β = 60.00°, γ = 60.00°
Atoms (fractional coordinates):
Li  0.0000  0.0000  0.0000
Os  0.2500  0.2500  0.2500
Pd  0.5000  0.5000  0.5000

---

[20]
Compound: Sr2TlZn
Source: OQMD
Functional: PBE
Structure: relaxed

Values from the calculation:
space group: P3m1, No. 156
energy: -1.86 eV per atom
ρ: 4.8 g/cm³
crystal system: trigonal

a = 4.6191 Å, b = 4.6191 Å, c = 8.3899 Å
α = 90.00°, β = 90.00°, γ = 120.00°
Atoms (fractional coordinates):
Sr  0.0000  0.0000  0.0000
Sr  0.3333  0.6667  0.5841
Tl  0.6667  0.3333  0.2704
Zn  0.0000  0.0000  0.3793

---

[21]
Compound: Ge3Os2
Source: OQMD
Functional: PBE
Structure: relaxed

Values from the calculation:
offset from the most stable computed form: 8 meV per atom
space group: P-4c2, No. 116
ρ: 12.6 g/cm³
crystal system: tetragonal

a = 5.8083 Å, b = 5.8083 Å, c = 9.3480 Å
α = 90.00°, β = 90.00°, γ = 90.00°
Atoms (fractional coordinates):
Ge  0.1490  0.2828  0.4149
Ge  0.1490  0.7172  0.9149
Ge  0.2828  0.1490  0.0851
Ge  0.2828  0.8510  0.5851
Ge  0.3292  0.3292  0.7500
Ge  0.3292  0.6708  0.2500
Ge  0.6708  0.3292  0.2500
Ge  0.6708  0.6708  0.7500
Ge  0.7172  0.1490  0.5851
Ge  0.7172  0.8510  0.0851
Ge  0.8510  0.2828  0.9149
Ge  0.8510  0.7172  0.4149
Os  0.0000  0.0000  0.2500
Os  0.0000  0.0000  0.7500
Os  0.0000  0.5000  0.1247
Os  0.0000  0.5000  0.6247
Os  0.5000  0.0000  0.3753
Os  0.5000  0.0000  0.8753
Os  0.5000  0.5000  0.0000
Os  0.5000  0.5000  0.5000

---

[22]
Compound: NdSmInNi2
Source: OQMD
Functional: PBE
Structure: relaxed

Values from the calculation:
space group: Amm2, No. 38
energy: -5.14 eV per atom
ρ: 8.0 g/cm³
crystal system: orthorhombic

a = 3.8216 Å, b = 7.4855 Å, c = 7.4855 Å
α = 30.71°, β = 90.00°, γ = 90.00°
Atoms (fractional coordinates):
Nd  0.0000  0.0000  0.0000
Sm  0.0000  0.2728  0.2728
In  0.5000  0.6375  0.6375
Ni  0.5000  0.4351  0.4351
Ni  0.5000  0.8351  0.8351

---

[23]
Compound: SrNd2
Source: OQMD
Functional: PBE
Structure: relaxed

Values from the calculation:
offset from the most stable computed form: 0 meV per atom
space group: Fd-3m, No. 227
ρ: 5.0 g/cm³
crystal system: cubic

a = 7.0879 Å, b = 7.0879 Å, c = 7.0879 Å
α = 60.00°, β = 60.00°, γ = 60.00°
Atoms (fractional coordinates):
Sr  0.1250  0.1250  0.1250
Sr  0.8750  0.8750  0.8750
Nd  0.0000  0.5000  0.5000
Nd  0.5000  0.0000  0.5000
Nd  0.5000  0.5000  0.0000
Nd  0.5000  0.5000  0.5000